Entry 1:
Entry from Alexandria via LeMat-Bulk: a relaxed structure of CaCuO2 (PBEsol).

Cell and atoms, written as POSCAR:
```
CaCuO2
1.0
3.134 0.000 0.000
0.000 5.364 0.000
0.000 0.000 10.966
Cu Ca O
4 4 8
Direct
0.000 0.500 0.878
0.000 0.500 0.122
0.000 0.000 0.378
0.000 0.000 0.622
0.500 0.001 0.136
0.500 0.999 0.864
0.500 0.499 0.636
0.500 0.501 0.364
0.000 0.749 0.750
0.000 0.251 0.250
0.999 0.759 0.000
0.000 0.249 0.750
0.999 0.241 0.000
0.001 0.259 0.500
0.000 0.751 0.250
0.001 0.741 0.500
```

ΔE_f (raw) = -681 kJ/mol of formula units


Entry 2:
Entry from Alexandria via LeMat-Bulk: a relaxed structure of Al2ZnNiN (PBEsol).

Cell and atoms, written as POSCAR:
```
Al2ZnNiN
1.0
-2.604 1.095 -2.522
-2.265 -2.825 1.112
-1.720 2.506 2.865
Al Zn N Ni
2 1 1 1
Direct
0.000 0.500 0.000
0.500 0.000 0.000
0.000 0.000 0.500
0.000 0.000 0.000
0.500 0.500 0.500
```

ΔE_f (raw) = -47 kJ/mol of formula units


Entry 3:
Entry from Alexandria via LeMat-Bulk: a relaxed structure of ZrIn2 (PBEsol).

Cell and atoms, written as POSCAR:
```
ZrIn2
1.0
-2.147 -2.256 -0.237
2.973 -2.784 -0.432
-0.286 1.862 5.455
In Zr
2 1
Direct
0.669 0.669 0.337
0.331 0.331 0.663
0.000 0.000 0.000
```

ΔE_f = -0.35 eV per formula unit


Entry 4:
Entry from Alexandria via LeMat-Bulk: a relaxed structure of La2Ti3Ag2O10 (PBEsol).

Cell and atoms, written as POSCAR:
```
La2Ti3Ag2O10
1.0
-0.400 1.804 -3.348
1.879 -2.833 -1.751
-13.022 -6.277 0.357
O La Ti Ag
10 2 3 2
Direct
0.632 0.132 0.265
0.068 0.068 0.136
0.000 0.500 0.000
0.132 0.632 0.265
0.790 0.790 0.580
0.368 0.868 0.735
0.932 0.932 0.864
0.210 0.210 0.420
0.500 0.000 0.000
0.868 0.368 0.735
0.575 0.575 0.150
0.425 0.425 0.850
0.148 0.148 0.296
0.000 0.000 0.000
0.852 0.852 0.704
0.288 0.288 0.577
0.712 0.712 0.423
```

ΔE_f (raw) = -4390 kJ/mol of formula units


Entry 5:
Entry from Alexandria via LeMat-Bulk: a relaxed structure of YSiO2 (PBEsol).

Cell and atoms, written as POSCAR:
```
YSiO2
1.0
-2.732 -1.048 0.394
-0.453 -2.913 0.171
-0.196 -1.062 6.883
O Y Si
2 1 1
Direct
0.124 0.124 0.628
0.876 0.876 0.372
0.000 0.000 0.000
0.500 0.500 0.500
```

ΔE_f (raw) = -535 kJ/mol of formula units


Entry 6:
Entry from Alexandria via LeMat-Bulk: a relaxed structure of Ta3AgO8 (PBEsol).

Cell and atoms, written as POSCAR:
```
Ta3AgO8
1.0
6.907 0.000 0.000
3.454 6.402 0.014
3.454 2.258 5.991
O Ta Ag
16 6 2
Direct
0.675 0.821 0.829
0.941 0.540 0.166
0.938 0.686 0.438
0.175 0.829 0.821
0.062 0.314 0.562
0.559 0.834 0.460
0.853 0.166 0.540
0.647 0.460 0.834
0.441 0.166 0.540
0.325 0.179 0.171
0.147 0.834 0.460
0.059 0.460 0.834
0.825 0.171 0.179
0.438 0.438 0.686
0.562 0.562 0.314
0.353 0.540 0.166
0.250 0.500 0.500
0.231 0.030 0.509
0.769 0.970 0.491
0.750 0.500 0.500
0.269 0.491 0.970
0.731 0.509 0.030
0.750 0.000 0.000
0.250 0.000 0.000
```

excess energy over the best structure of this formula in the dataset = 0 kJ/mol of formula units
ΔE_f (raw) = -2883 kJ/mol of formula units


Entry 7:
Entry from Alexandria via LeMat-Bulk: a relaxed structure of Ag4Hg (PBEsol).

Cell and atoms, written as POSCAR:
```
Ag4Hg
1.0
-0.787 0.925 3.913
1.419 -3.553 3.271
3.738 2.446 2.319
Ag Hg
4 1
Direct
0.599 0.204 0.598
0.197 0.402 0.204
0.803 0.598 0.796
0.401 0.796 0.402
0.000 0.000 0.000
```

ΔE_f = -0.02 eV per formula unit


Entry 8:
Entry from Alexandria via LeMat-Bulk: a relaxed structure of Sn2Sb2Pb (PBEsol).

Cell and atoms, written as POSCAR:
```
Sn2Sb2Pb
1.0
4.285 0.000 0.000
0.000 4.285 0.000
-2.143 -2.143 7.922
Sn Sb Pb
2 2 1
Direct
0.250 0.750 0.500
0.750 0.250 0.500
0.595 0.595 0.190
0.405 0.405 0.810
0.000 0.000 0.000
```

excess energy over the best structure of this formula in the dataset = 23 kJ/mol of formula units
ΔE_f (raw) = 53 kJ/mol of formula units


Entry 9:
Entry from Alexandria via LeMat-Bulk: a relaxed structure of Mg4Rh (PBEsol).

Cell and atoms, written as POSCAR:
```
Mg4Rh
1.0
-1.780 2.606 -0.318
-5.402 -1.733 0.216
-0.886 1.967 5.252
Mg Rh
4 1
Direct
0.422 0.810 0.346
0.578 0.190 0.654
0.768 0.654 0.810
0.232 0.346 0.190
0.000 0.000 0.000
```

ΔE_f = -1.21 eV per formula unit


Entry 10:
Entry from Alexandria via LeMat-Bulk: a relaxed structure of SrBeCu2 (PBEsol).

Cell and atoms, written as POSCAR:
```
SrBeCu2
1.0
4.058 0.000 0.000
2.029 4.377 0.001
2.029 0.991 4.263
Sr Be Cu
1 1 2
Direct
0.506 0.494 0.494
0.348 0.152 0.152
0.672 0.828 0.828
0.974 0.026 0.026
```

ΔE_f = 1.45 eV per formula unit


Entry 11:
Entry from Alexandria via LeMat-Bulk: a relaxed structure of Ta3Cr (PBEsol).

Cell and atoms, written as POSCAR:
```
Ta3Cr
1.0
3.155 0.000 0.000
0.000 4.557 0.000
-1.577 -2.279 4.471
Cr Ta
1 3
Direct
0.000 0.500 0.000
0.735 0.735 0.469
0.500 0.000 0.000
0.265 0.265 0.531
```

ΔE_f = 0.15 eV per formula unit


Entry 12:
Entry from Alexandria via LeMat-Bulk: a relaxed structure of BaLi2Hg (PBEsol).

Cell and atoms, written as POSCAR:
```
BaLi2Hg
1.0
-0.063 0.547 3.765
5.322 -1.509 0.080
-1.104 5.821 -2.672
Li Ba Hg
2 1 1
Direct
0.500 0.500 0.500
0.000 0.000 0.500
0.500 0.000 0.000
0.000 0.500 0.000
```

ΔE_f = -0.25 eV per formula unit


Entry 13:
Entry from Alexandria via LeMat-Bulk: a relaxed structure of Cd3ClF (PBEsol).

Cell and atoms, written as POSCAR:
```
Cd3ClF
1.0
5.451 0.000 0.000
0.000 5.451 0.000
0.000 0.000 5.451
Cl F Cd
1 1 3
Direct
0.000 0.000 0.000
0.500 0.500 0.500
0.500 0.000 0.000
0.000 0.500 0.000
0.000 0.000 0.500
```

ΔE_f (raw) = 89 kJ/mol of formula units


Entry 14:
Entry from Alexandria via LeMat-Bulk: a relaxed structure of OsPtW (PBEsol).

Cell and atoms, written as POSCAR:
```
OsPtW
1.0
-1.396 0.604 -2.300
-1.358 -0.482 2.351
0.321 6.577 1.533
W Pt Os
1 1 1
Direct
0.667 0.333 0.327
0.333 0.667 0.664
0.000 0.000 0.009
```

excess energy over the best structure of this formula in the dataset = 0 kJ/mol of formula units
ΔE_f = 0.07 eV per formula unit


Entry 15:
Entry from Alexandria via LeMat-Bulk: a relaxed structure of Ca13Al14 (PBEsol).

Cell and atoms, written as POSCAR:
```
Ca13Al14
1.0
9.070 0.007 -0.015
3.855 8.209 -0.015
2.516 1.599 9.114
Ca Al
13 14
Direct
0.056 0.650 0.367
0.496 0.496 0.201
0.356 0.919 0.227
0.196 0.196 0.916
0.804 0.804 0.084
0.919 0.356 0.227
0.504 0.504 0.799
0.350 0.944 0.633
0.944 0.350 0.633
0.644 0.081 0.773
0.081 0.644 0.773
0.000 0.000 0.500
0.650 0.056 0.367
0.477 0.204 0.083
0.774 0.226 0.000
0.226 0.774 0.000
0.339 0.339 0.569
0.259 0.259 0.344
0.523 0.796 0.917
0.204 0.477 0.083
0.002 0.002 0.841
0.998 0.998 0.159
0.796 0.523 0.917
0.741 0.741 0.656
0.661 0.661 0.431
0.646 0.354 0.500
0.354 0.646 0.500
```

ΔE_f = -6.95 eV per formula unit


Entry 16:
Entry from Alexandria via LeMat-Bulk: a relaxed structure of ErAgS2 (PBEsol).

Cell and atoms, written as POSCAR:
```
ErAgS2
1.0
-4.107 2.861 1.843
1.096 -1.624 4.961
4.978 3.905 -2.688
S Er Ag
4 2 2
Direct
0.267 0.267 0.533
0.517 0.017 0.033
0.733 0.733 0.467
0.983 0.483 0.967
0.500 0.500 0.000
0.750 0.250 0.500
0.000 0.000 0.000
0.250 0.750 0.500
```

ΔE_f (raw) = -507 kJ/mol of formula units


Entry 17:
Entry from Alexandria via LeMat-Bulk: a relaxed structure of Ba4LaHg (PBEsol).

Cell and atoms, written as POSCAR:
```
Ba4LaHg
1.0
-0.179 4.144 -5.896
2.028 -2.703 -6.368
-4.919 -1.232 -5.124
Ba La Hg
4 1 1
Direct
0.873 0.376 0.376
0.376 0.376 0.376
0.376 0.873 0.376
0.376 0.376 0.873
0.000 0.000 0.000
0.750 0.750 0.750
```

ΔE_f = 2.54 eV per formula unit


Entry 18:
Entry from Alexandria via LeMat-Bulk: a relaxed structure of Mn4Re (PBEsol).

Cell and atoms, written as POSCAR:
```
Mn4Re
1.0
3.536 0.000 0.000
0.000 3.536 0.000
-1.768 -1.768 4.726
Mn Re
4 1
Direct
0.250 0.750 0.500
0.393 0.393 0.787
0.607 0.607 0.213
0.750 0.250 0.500
0.000 0.000 0.000
```

excess energy over the best structure of this formula in the dataset = 173 kJ/mol of formula units
ΔE_f = 2.27 eV per formula unit


Entry 19:
Entry from Alexandria via LeMat-Bulk: a relaxed structure of Y2MgCl (PBEsol).

Cell and atoms, written as POSCAR:
```
Y2MgCl
1.0
-1.382 3.086 0.370
-2.365 -1.307 2.066
5.782 1.670 7.675
Mg Y Cl
1 2 1
Direct
0.500 0.500 0.774
0.500 0.500 0.276
0.000 0.000 0.008
0.000 0.000 0.442
```

excess energy over the best structure of this formula in the dataset = 0 kJ/mol of formula units
ΔE_f (raw) = -225 kJ/mol of formula units


Entry 20:
Entry from Alexandria via LeMat-Bulk: a relaxed structure of SrPt2 (PBEsol).

Cell and atoms, written as POSCAR:
```
SrPt2
1.0
-1.320 4.695 -2.503
1.038 0.643 -5.344
-4.132 0.119 -3.600
Pt Sr
4 2
Direct
0.125 0.625 0.625
0.625 0.625 0.625
0.625 0.125 0.625
0.625 0.625 0.125
0.250 0.250 0.250
0.000 0.000 0.000
```

ΔE_f = -2.50 eV per formula unit


Entry 21:
Entry from Alexandria via LeMat-Bulk: a relaxed structure of Tl2Ge2I (PBEsol).

Cell and atoms, written as POSCAR:
```
Tl2Ge2I
1.0
3.778 0.000 0.000
0.000 3.778 0.000
-1.889 -1.889 9.825
Ge I Tl
2 1 2
Direct
0.750 0.250 0.500
0.250 0.750 0.500
0.000 0.000 0.000
0.609 0.609 0.218
0.391 0.391 0.782
```

ΔE_f (raw) = 20 kJ/mol of formula units


Entry 22:
Entry from Alexandria via LeMat-Bulk: a relaxed structure of ScCd2Rh (PBEsol).

Cell and atoms, written as POSCAR:
```
ScCd2Rh
1.0
4.026 0.000 0.000
0.000 4.017 0.000
-2.013 -2.008 4.354
Sc Cd Rh
1 2 1
Direct
0.500 0.000 0.000
0.750 0.750 0.500
0.250 0.250 0.500
0.000 0.500 0.000
```

ΔE_f = -1.71 eV per formula unit


Entry 23:
Entry from Alexandria via LeMat-Bulk: a relaxed structure of TaBeAs2 (PBEsol).

Cell and atoms, written as POSCAR:
```
TaBeAs2
1.0
-3.114 -0.341 0.996
0.896 -3.922 1.460
1.037 1.654 3.808
As Be Ta
2 1 1
Direct
0.000 0.000 0.500
0.000 0.500 0.000
0.500 0.500 0.500
0.500 0.000 0.000
```

ΔE_f = 0.61 eV per formula unit


Entry 24:
Entry from Alexandria via LeMat-Bulk: a relaxed structure of ZrNb3Al (PBEsol).

Cell and atoms, written as POSCAR:
```
ZrNb3Al
1.0
-1.529 3.902 2.169
-4.333 -0.745 -1.714
-1.075 -2.547 3.824
Nb Zr Al
3 1 1
Direct
0.000 0.500 0.000
0.000 0.000 0.500
0.500 0.000 0.000
0.500 0.500 0.500
0.000 0.000 0.000
```

ΔE_f = 5.04 eV per formula unit


Entry 25:
Entry from Alexandria via LeMat-Bulk: a relaxed structure of TlOs2Br (PBEsol).

Cell and atoms, written as POSCAR:
```
TlOs2Br
1.0
-1.219 2.349 -1.274
-5.278 -1.146 -0.448
-3.296 2.254 3.926
Os Br Tl
2 1 1
Direct
0.703 0.656 0.937
0.027 0.068 0.877
0.301 0.213 0.185
0.468 0.562 0.502
```

ΔE_f (raw) = 404 kJ/mol of formula units


Entry 26:
Entry from Alexandria via LeMat-Bulk: a relaxed structure of ScCd2Os (PBEsol).

Cell and atoms, written as POSCAR:
```
ScCd2Os
1.0
3.355 0.000 0.000
0.000 4.749 -0.050
-1.677 -1.847 4.541
Os Cd Sc
1 2 1
Direct
0.505 0.532 0.010
0.005 0.026 0.010
0.758 0.233 0.517
0.231 0.709 0.462
```

excess energy over the best structure of this formula in the dataset = 0 kJ/mol of formula units
ΔE_f = 0.37 eV per formula unit